A plane-wave DFT calculation with GGA-PBE was carried out for a relaxed Tb2GdCu4Si4 crystal.

final energy: -5.223 eV/atom
crystal system: orthorhombic

a b c (Å): 4.149 6.558 13.749
angles (deg): 90.00 90.00 90.00
Space group Immm (No. 71)
Asymmetric unit:
Tb  0.000  0.000  0.130 [4 per cell]
Gd  0.000  0.500  0.000 [2 per cell]
Cu  0.000  0.190  0.331 [8 per cell]
Si  0.000  0.316  0.500 [4 per cell]
Si  0.000  0.500  0.216 [4 per cell]



A plane-wave DFT calculation with GGA-PBE was carried out for a relaxed TbGdCu2Si4 crystal.

final energy: -5.389 eV/atom
crystal system: orthorhombic

a b c (Å): 3.993 4.040 16.888
angles (deg): 90.00 90.00 90.00
Space group Amm2 (No. 38)
Asymmetric unit:
Tb  0.000  0.000  0.000 [2 per cell]
Gd  0.500  0.000  0.796 [2 per cell]
Cu  0.000  0.000  0.225 [2 per cell]
Cu  0.500  0.000  0.570 [2 per cell]
Si  0.000  0.000  0.362 [2 per cell]
Si  0.000  0.000  0.649 [2 per cell]
Si  0.500  0.000  0.147 [2 per cell]
Si  0.500  0.000  0.435 [2 per cell]



A plane-wave DFT calculation with GGA-PBE was carried out for a relaxed TbGdCu2Si2 crystal.

final energy: -5.261 eV/atom
crystal system: trigonal

a b c (Å): 4.1507 4.1507 7.6215
angles (deg): 90.00 90.00 120.00
Space group P-3m1 (No. 164)
Asymmetric unit:
Tb  0.0000  0.0000  0.0000 [1 per cell]
Gd  0.0000  0.0000  0.5000 [1 per cell]
Cu  0.3333  0.6667  0.7508 [2 per cell]
Si  0.3333  0.6667  0.2490 [2 per cell]



A plane-wave DFT calculation with GGA-PBE was carried out for a relaxed GdCuSi2Tc crystal.

final energy: -6.484 eV/atom
crystal system: tetragonal

a b c (Å): 4.002 4.002 10.243
angles (deg): 90.00 90.00 90.00
Space group I-4m2 (No. 119)
Asymmetric unit:
Gd  0.000  0.000  0.000 [2 per cell]
Cu  0.000  0.500  0.750 [2 per cell]
Si  0.000  0.000  0.381 [4 per cell]
Tc  0.000  0.500  0.250 [2 per cell]



A plane-wave DFT calculation with GGA-PBE was carried out for a relaxed GdTmCu2Si2 crystal.

final energy: -5.234 eV/atom
crystal system: trigonal

a b c (Å): 4.1282 4.1282 7.4677
angles (deg): 90.00 90.00 120.00
Space group P-3m1 (No. 164)
Asymmetric unit:
Gd  0.0000  0.0000  0.0000 [1 per cell]
Tm  0.0000  0.0000  0.5000 [1 per cell]
Cu  0.3333  0.6667  0.2570 [2 per cell]
Si  0.3333  0.6667  0.7444 [2 per cell]



A plane-wave DFT calculation with GGA-PBE was carried out for a relaxed Gd2YCu4Si4 crystal.

final energy: -5.391 eV/atom
crystal system: orthorhombic

a b c (Å): 4.168 6.551 13.775
angles (deg): 90.00 90.00 90.00
Space group Immm (No. 71)
Asymmetric unit:
Gd  0.000  0.000  0.130 [4 per cell]
Y  0.000  0.500  0.000 [2 per cell]
Cu  0.000  0.190  0.332 [8 per cell]
Si  0.000  0.315  0.500 [4 per cell]
Si  0.000  0.500  0.216 [4 per cell]



- Which formula does entry 3 have?
  TbGdCu2Si2